Compound: Li2MnP2O7
Source: the Alexandria database
Functional: PBE with a Hubbard U
Structure: relaxed

Energy relative to the lowest polymorph listed for this composition: 1.8 kJ/mol of atoms
Total energy: -6.982 eV per atom
Mass density: 2.73 g/cm3
Calculated volume: 12.31 Å³/atom
Crystal system: triclinic

Unit cell a=5.1067 b=7.1189 c=8.6588 alpha=95.05 beta=92.88 gamma=108.97
Each line ends with the local moment (μB).
Positions (direct):
Li  0.5865  0.6259  0.8508  0.00
Li  0.0180  0.3390  0.6776  0.00
Li  0.0584  0.9298  0.3998  0.00
Li  0.4176  0.3740  0.1558  0.00
Mn  0.5097  0.5084  0.4946  4.67
Mn  0.0005  0.0045  0.0047  4.67
P  0.5484  0.1845  0.7985  0.01
P  0.1283  0.7718  0.6898  0.01
P  0.8682  0.2254  0.3182  0.01
P  0.4623  0.8150  0.2037  0.01
O  0.4055  0.2101  0.9462  0.02
O  0.9845  0.7646  0.8401  0.01
O  0.8208  0.1415  0.8203  0.02
O  0.3033  0.6306  0.6857  0.01
O  0.5964  0.3654  0.7044  0.02
O  0.3334  0.9985  0.6803  0.00
O  0.9296  0.7319  0.5431  0.01
O  0.0759  0.2685  0.4627  0.01
O  0.7110  0.9836  0.3216  0.00
O  0.4200  0.6275  0.2857  0.02
O  0.6490  0.3268  0.3281  0.02
O  0.2148  0.8909  0.2005  0.01
O  0.0114  0.2464  0.1673  0.02
O  0.5832  0.7980  0.0464  0.02